Entry 1:
## BaSrZn2 (PBE-GGA)

Data for BaSrZn2 after structural relaxation. Values from VASP.

Space group   No. 122
ΔH_f (0 K)   111 meV/atom

```
&SYSTEM
  ibrav = 0, nat = 8, ntyp = 3
/
ATOMIC_SPECIES
Zn 65.41 Zn.upf
Ba 137.33 Ba.upf
Sr 87.62 Sr.upf
CELL_PARAMETERS angstrom
8.721 0.000 0.000
0.000 8.721 0.000
4.360 4.360 4.112
ATOMIC_POSITIONS angstrom
Zn 2.286 6.541 1.028
Zn 6.541 6.647 3.084
Zn 10.901 10.795 3.084
Zn 6.434 2.180 1.028
Ba 8.721 4.360 2.056
Ba 0.000 0.000 0.000
Sr 4.360 8.721 2.056
Sr 4.360 4.360 0.000
```

Entry 2:
## Sc2VHgH (PBE-GGA)

Data for Sc2VHgH after structural relaxation. Values from VASP.

E_tot   -26.32 eV/cell
Space group   No. 123

```
&SYSTEM
  ibrav = 0, nat = 5, ntyp = 4
/
ATOMIC_SPECIES
Sc 44.96 Sc.upf
V 50.94 V.upf
H 1.01 H.upf
Hg 200.59 Hg.upf
CELL_PARAMETERS angstrom
-0.782 2.162 4.058
-4.301 -1.800 0.130
1.304 -2.983 1.841
ATOMIC_POSITIONS angstrom
Sc -0.391 1.081 2.029
Sc -2.150 -0.900 0.065
V 0.652 -1.492 0.920
H 0.000 0.000 0.000
Hg -1.890 -1.310 3.014
```

Entry 3:
## Er4AlIn3 (PBE-GGA)

Data for Er4AlIn3 after structural relaxation. Values from VASP.

Distance to the lowest polymorph of the same formula   0 meV/atom
Space group   No. 123
ΔH_f (0 K)   -426 meV/atom

```
&SYSTEM
  ibrav = 0, nat = 8, ntyp = 3
/
ATOMIC_SPECIES
In 114.82 In.upf
Er 167.26 Er.upf
Al 26.98 Al.upf
CELL_PARAMETERS angstrom
3.615 0.000 0.000
0.000 3.615 0.000
0.000 0.000 15.415
ATOMIC_POSITIONS angstrom
In 1.807 1.807 7.707
In 1.807 1.807 3.760
In 1.807 1.807 11.655
Er 0.000 0.000 5.719
Er 0.000 0.000 1.778
Er 0.000 0.000 9.696
Er 0.000 0.000 13.637
Al 1.807 1.807 0.000
```

Entry 4:
## La3Tb7Dy (PBE-GGA)

Data for La3Tb7Dy after structural relaxation. Values from VASP.

Distance to the lowest polymorph of the same formula   51 meV/atom
Space group   No. 156
ΔH_f (0 K)   170 meV/atom

```
&SYSTEM
  ibrav = 0, nat = 11, ntyp = 3
/
ATOMIC_SPECIES
Tb 158.93 Tb.upf
La 138.91 La.upf
Dy 162.50 Dy.upf
CELL_PARAMETERS angstrom
-0.633 8.329 -2.792
-1.155 -2.315 -6.643
-5.498 1.061 4.412
ATOMIC_POSITIONS angstrom
Tb -4.901 2.473 -3.835
Tb -2.163 1.944 -6.031
Tb -5.424 0.368 -1.089
Tb -2.112 0.992 0.021
Tb -4.849 1.521 2.218
Tb -1.588 3.097 -2.724
Tb -2.681 -0.157 -3.304
La -3.823 5.895 -3.302
La -3.245 7.053 0.019
La -6.571 6.426 -1.097
Dy -4.331 3.619 -0.508
```

Entry 5:
## MnAs2SeBr (PBE-GGA)

Data for MnAs2SeBr after structural relaxation. Values from VASP.

Distance to the lowest polymorph of the same formula   1426 meV/atom
Formation energy (no corrections)   1.75 eV per atom
Space group   No. 123

```
&SYSTEM
  ibrav = 0, nat = 5, ntyp = 4
/
ATOMIC_SPECIES
As 74.92 As.upf
Se 78.96 Se.upf
Br 79.90 Br.upf
Mn 54.94 Mn.upf
CELL_PARAMETERS angstrom
-4.725 -1.266 1.134
1.692 -3.815 2.792
0.161 3.076 4.105
ATOMIC_POSITIONS angstrom
As 0.846 -1.908 1.396
As -2.363 -0.633 0.567
Se 0.080 1.538 2.053
Br 0.000 0.000 0.000
Mn -1.436 -1.003 4.016
```

Entry 6:
## Hf5Co2Ir2 (PBE-GGA)

Data for Hf5Co2Ir2 after structural relaxation. Values from VASP.

Space group   No. 64
ΔH_f (0 K)   -577 meV/atom

```
&SYSTEM
  ibrav = 0, nat = 18, ntyp = 3
/
ATOMIC_SPECIES
Hf 178.49 Hf.upf
Ir 192.22 Ir.upf
Co 58.93 Co.upf
CELL_PARAMETERS angstrom
6.492 0.000 0.000
0.000 5.769 -2.966
0.000 0.618 8.297
ATOMIC_POSITIONS angstrom
Hf 5.295 4.895 -0.166
Hf 1.197 1.492 5.497
Hf 4.443 2.011 1.317
Hf 4.443 0.718 5.896
Hf 3.246 2.885 -1.483
Hf 5.295 3.602 4.413
Hf 0.000 0.000 0.000
Hf 2.049 4.377 4.014
Hf 2.049 5.670 -0.564
Hf 1.197 2.785 0.919
Ir 0.000 4.843 2.327
Ir 3.246 1.959 3.810
Ir 3.246 4.429 1.521
Ir 0.000 1.544 3.004
Co 2.440 0.728 -0.374
Co 5.686 2.157 -1.109
Co 0.806 3.612 -1.857
Co 4.052 5.041 -2.592
```

Entry 7:
## TmCu3Ge (PBE-GGA)

Data for TmCu3Ge after structural relaxation. Values from VASP.

Space group   No. 59
ΔH_f (0 K)   -261 meV/atom

```
&SYSTEM
  ibrav = 0, nat = 10, ntyp = 3
/
ATOMIC_SPECIES
Ge 72.64 Ge.upf
Tm 168.93 Tm.upf
Cu 63.55 Cu.upf
CELL_PARAMETERS angstrom
-1.461 -4.178 0.302
5.639 -1.931 0.554
-0.387 0.563 5.900
ATOMIC_POSITIONS angstrom
Ge 2.692 -3.059 1.670
Ge 2.469 -5.107 4.840
Tm 3.805 -5.779 2.001
Tm 1.354 -2.387 4.506
Cu 1.015 -4.913 0.536
Cu 0.503 -2.310 1.452
Cu -0.981 -3.926 4.498
Cu 4.299 -3.482 3.605
Cu 0.863 -4.687 2.903
Cu 4.142 -3.256 5.971
```

Entry 8:
## CdP2HCl (PBE-GGA)

Data for CdP2HCl after structural relaxation. Values from VASP.

Distance to the lowest polymorph of the same formula   0 meV/atom
Space group   No. 123

```
&SYSTEM
  ibrav = 0, nat = 5, ntyp = 4
/
ATOMIC_SPECIES
Cl 35.45 Cl.upf
H 1.01 H.upf
Cd 112.41 Cd.upf
P 30.97 P.upf
CELL_PARAMETERS angstrom
-2.583 -1.603 -2.151
2.620 -0.862 -2.503
0.963 -5.406 2.871
ATOMIC_POSITIONS angstrom
Cl 0.481 -2.703 1.435
H 0.000 0.000 0.000
Cd 0.500 -3.935 -0.892
P -1.292 -0.801 -1.076
P 1.310 -0.431 -1.251
```

Entry 9:
## Mg2CdGa2 (PBE-GGA)

Data for Mg2CdGa2 after structural relaxation. Values from VASP.

Distance to the lowest polymorph of the same formula   0 meV/atom
Space group   No. 10
ΔH_f (0 K)   -100 meV/atom

```
&SYSTEM
  ibrav = 0, nat = 5, ntyp = 3
/
ATOMIC_SPECIES
Cd 112.41 Cd.upf
Mg 24.30 Mg.upf
Ga 69.72 Ga.upf
CELL_PARAMETERS angstrom
3.300 0.000 0.000
0.000 4.257 -1.227
0.000 -0.205 7.282
ATOMIC_POSITIONS angstrom
Cd 0.000 0.000 0.000
Mg 1.650 1.467 5.108
Mg 1.650 2.585 0.947
Ga 0.000 3.279 3.378
Ga 0.000 0.773 2.677
```

Entry 10:
## CoAsI2 (PBE-GGA)

Data for CoAsI2 after structural relaxation. Values from VASP.

Distance to the lowest polymorph of the same formula   328 meV/atom
Formation energy (no corrections)   0.93 eV per atom
Space group   No. 225

```
&SYSTEM
  ibrav = 0, nat = 4, ntyp = 3
/
ATOMIC_SPECIES
I 126.90 I.upf
As 74.92 As.upf
Co 58.93 Co.upf
CELL_PARAMETERS angstrom
0.000 3.608 3.608
3.608 0.000 3.608
3.608 3.608 0.000
ATOMIC_POSITIONS angstrom
I 5.411 5.411 5.411
I 1.804 1.804 1.804
As 3.608 3.608 3.608
Co 0.000 0.000 0.000
```

Entry 11:
## Ag2HgP (PBE-GGA)

Data for Ag2HgP after structural relaxation. Values from VASP.

Distance to the lowest polymorph of the same formula   65 meV/atom
Space group   No. 12
ΔH_f (0 K)   316 meV/atom

```
&SYSTEM
  ibrav = 0, nat = 4, ntyp = 3
/
ATOMIC_SPECIES
Ag 107.87 Ag.upf
P 30.97 P.upf
Hg 200.59 Hg.upf
CELL_PARAMETERS angstrom
-4.053 -4.208 -3.010
0.005 0.391 5.127
-2.929 0.713 -0.042
ATOMIC_POSITIONS angstrom
Ag -3.491 -1.748 -1.526
Ag 0.000 0.000 0.000
P -2.024 -1.909 1.059
Hg -1.462 0.552 2.542
```

Entry 12:
## Zr2TeRh (PBE-GGA)

Data for Zr2TeRh after structural relaxation. Values from VASP.

Distance to the lowest polymorph of the same formula   123 meV/atom
Formation energy (no corrections)   -0.52 eV per atom
Space group   No. 71

```
&SYSTEM
  ibrav = 0, nat = 4, ntyp = 3
/
ATOMIC_SPECIES
Zr 91.22 Zr.upf
Te 127.60 Te.upf
Rh 102.91 Rh.upf
CELL_PARAMETERS angstrom
-4.075 0.261 -3.156
-0.713 -1.212 -4.965
-2.344 -4.104 -1.015
ATOMIC_POSITIONS angstrom
Zr -3.591 -2.499 -4.637
Zr -4.763 -0.979 -8.051
Te -5.349 -3.791 -6.852
Rh -1.783 -1.264 -2.284
```

no.,DOS(E_F) (states/eV per cell),magnetic moment (μB per cell)
1,10.53,0.0
2,5.63,2.3
3,3.91,0.0
4,17.81,0.0
5,6.23,0.2
6,15.97,0.0
7,3.13,0.0
8,2.36,0.0
9,1.42,0.0
10,6.39,1.8
11,1.51,0.0
12,2.35,0.0